(1)
{"formula": "TiAuN2", "functional": "PBE-GGA", "state": "optimized geometry", "dos_at_fermi_per_ev_atom": 0.652, "total_energy_ev_per_atom": -7.076, "e_above_lowest_polymorph_mev_per_atom": 187, "sg": "No. 122", "m_tot_mub_per_fu": 0.00, "crystal_system": "tetragonal", "raw_formation_energy_kj_per_mol_atoms": -11.6, "cell": [[4.8683, 0.0000, 0.0000], [0.0000, 4.8683, 0.0000], [2.4341, 2.4341, 4.6513]], "species": ["Ti", "N", "Au", "Au", "N", "Ti", "N", "N"], "frac_coords": [[0.2500, 0.7500, 0.5000], [0.1789, 0.6250, 0.2500], [0.0000, 0.0000, 0.0000], [0.7500, 0.2500, 0.5000], [0.3750, 0.4289, 0.7500], [0.5000, 0.5000, 0.0000], [0.5711, 0.1250, 0.2500], [0.8750, 0.8211, 0.7500]]}

(2)
{"formula": "Ti7Au4N", "functional": "PBE-GGA", "state": "optimized geometry", "dos_at_fermi_per_ev_atom": 1.194, "total_energy_ev_per_atom": -6.702, "sg": "No. 164", "m_tot_mub_per_fu": 2.49, "crystal_system": "trigonal", "raw_formation_energy_kj_per_mol_atoms": -30.0, "cell": [[-1.7755, -3.8714, -1.5370], [1.6517, 0.2190, 4.2103], [-10.1678, 3.1444, 3.8252]], "species": ["Ti", "Ti", "N", "Au", "Ti", "Au", "Ti", "Ti", "Ti", "Au", "Ti", "Au"], "frac_coords": [[0.6667, 0.3333, 0.5500], [0.3333, 0.6667, 0.4500], [0.0000, 0.0000, 0.5000], [0.3333, 0.6667, 0.6946], [0.6667, 0.3333, 0.8154], [0.6667, 0.3333, 0.0588], [0.0000, 0.0000, 0.0000], [0.3333, 0.6667, 0.1846], [0.0000, 0.0000, 0.6695], [0.3333, 0.6667, 0.9412], [0.0000, 0.0000, 0.3305], [0.6667, 0.3333, 0.3054]]}

(3)
{"formula": "TiAuN3", "functional": "PBE-GGA", "state": "optimized geometry", "dos_at_fermi_per_ev_atom": 0.856, "total_energy_ev_per_atom": -5.408, "sg": "No. 221", "m_tot_mub_per_fu": 0.00, "crystal_system": "cubic", "raw_formation_energy_kj_per_mol_atoms": 175.8, "cell": [[3.9544, 0.0000, 0.0000], [0.0000, 3.9544, 0.0000], [0.0000, 0.0000, 3.9544]], "species": ["N", "Au", "Ti", "N", "N"], "frac_coords": [[0.0000, 0.0000, 0.5000], [0.0000, 0.0000, 0.0000], [0.5000, 0.5000, 0.5000], [0.0000, 0.5000, 0.0000], [0.5000, 0.0000, 0.0000]]}

(4)
{"formula": "TiAuN2", "functional": "PBE-GGA", "state": "optimized geometry", "dos_at_fermi_per_ev_atom": 0.838, "total_energy_ev_per_atom": -6.218, "e_above_lowest_polymorph_mev_per_atom": 1045, "sg": "No. 225", "m_tot_mub_per_fu": 0.00, "crystal_system": "cubic", "raw_formation_energy_kj_per_mol_atoms": 71.1, "cell": [[-0.8149, -3.7599, 0.8943], [-3.6052, -0.9902, 1.2740], [-2.4054, -2.1051, -2.3203]], "species": ["Au", "N", "Ti", "N"], "frac_coords": [[0.5000, 0.5000, 0.5000], [0.2500, 0.2500, 0.2500], [0.0000, 0.0000, 0.0000], [0.7500, 0.7500, 0.7500]]}

(5)
{"formula": "Ti8AuN2", "functional": "PBE-GGA", "state": "optimized geometry", "dos_at_fermi_per_ev_atom": 1.234, "total_energy_ev_per_atom": -7.877, "sg": "No. 12", "m_tot_mub_per_fu": 0.00, "crystal_system": "monoclinic", "raw_formation_energy_kj_per_mol_atoms": -31.2, "cell": [[5.5927, 0.6049, 0.4590], [0.8434, 6.3935, 1.4713], [0.8434, 3.1386, 5.7612]], "species": ["Ti", "Ti", "Ti", "N", "Ti", "Ti", "Au", "Ti", "Ti", "N", "Ti"], "frac_coords": [[0.3004, 0.3539, 0.8434], [0.3004, 0.8434, 0.3539], [0.1739, 0.3840, 0.3840], [0.6694, 0.7814, 0.7814], [0.6762, 0.2085, 0.2085], [0.3238, 0.7915, 0.7915], [0.0000, 0.0000, 0.0000], [0.6996, 0.6461, 0.1566], [0.6996, 0.1566, 0.6461], [0.3306, 0.2186, 0.2186], [0.8261, 0.6160, 0.6160]]}

(6)
{"formula": "TiAuN2", "functional": "PBE-GGA", "state": "optimized geometry", "dos_at_fermi_per_ev_atom": 1.124, "total_energy_ev_per_atom": -7.263, "e_above_lowest_polymorph_mev_per_atom": 0, "sg": "No. 166", "m_tot_mub_per_fu": 0.00, "crystal_system": "trigonal", "raw_formation_energy_kj_per_mol_atoms": -29.7, "cell": [[2.1862, -5.4009, 2.7912], [2.2229, -6.0631, -0.1932], [4.5279, -4.4870, 1.0514]], "species": ["N", "N", "Ti", "Au"], "frac_coords": [[0.8907, 0.8907, 0.8907], [0.1093, 0.1093, 0.1093], [0.5000, 0.5000, 0.5000], [0.0000, 0.0000, 0.0000]]}

(7)
{"formula": "TiAuN3", "functional": "PBE-GGA", "state": "optimized geometry", "dos_at_fermi_per_ev_atom": 0.876, "total_energy_ev_per_atom": -6.203, "sg": "No. 221", "m_tot_mub_per_fu": 0.00, "crystal_system": "cubic", "raw_formation_energy_kj_per_mol_atoms": 99.0, "cell": [[-2.7195, -2.7288, 0.8562], [2.7581, -2.8148, -0.2107], [0.7564, 0.4532, 3.8467]], "species": ["N", "N", "Au", "Ti", "N"], "frac_coords": [[0.0000, 0.5000, 0.0000], [0.0000, 0.0000, 0.5000], [0.5000, 0.5000, 0.5000], [0.0000, 0.0000, 0.0000], [0.5000, 0.0000, 0.0000]]}

(8)
{"formula": "TiTlAu2N", "functional": "PBE-GGA", "state": "optimized geometry", "dos_at_fermi_per_ev_atom": 2.361, "total_energy_ev_per_atom": -3.260, "sg": "No. 123", "m_tot_mub_per_fu": 0.00, "crystal_system": "tetragonal", "raw_formation_energy_kj_per_mol_atoms": 170.6, "cell": [[-2.8135, -2.9916, 2.7248], [-2.0767, -2.2614, -4.6270], [3.6024, -3.3633, 0.0270]], "species": ["Au", "N", "Ti", "Au", "Tl"], "frac_coords": [[0.5000, 0.0000, 0.0000], [0.5000, 0.5000, 0.5000], [0.0000, 0.0000, 0.0000], [0.0000, 0.0000, 0.5000], [0.0000, 0.5000, 0.0000]]}

(9)
{"formula": "Ti2VAuN", "functional": "PBE-GGA", "state": "optimized geometry", "dos_at_fermi_per_ev_atom": 0.968, "total_energy_ev_per_atom": -8.185, "sg": "No. 123", "m_tot_mub_per_fu": 0.00, "crystal_system": "tetragonal", "raw_formation_energy_kj_per_mol_atoms": -85.2, "cell": [[-0.0680, 0.0665, -4.1785], [-1.6858, -3.8244, -0.0334], [-3.5734, 1.5744, 0.0832]], "species": ["Ti", "V", "Au", "Ti", "N"], "frac_coords": [[0.0000, 0.5000, 0.0000], [0.0000, 0.0000, 0.5000], [0.5000, 0.5000, 0.5000], [0.5000, 0.0000, 0.0000], [0.0000, 0.0000, 0.0000]]}

(10)
{"formula": "YTi2AuN", "functional": "PBE-GGA", "state": "optimized geometry", "dos_at_fermi_per_ev_atom": 0.928, "total_energy_ev_per_atom": -7.687, "sg": "No. 123", "m_tot_mub_per_fu": 0.39, "crystal_system": "tetragonal", "raw_formation_energy_kj_per_mol_atoms": -88.3, "cell": [[4.1870, 0.0000, 0.0000], [0.0000, 4.1870, 0.0000], [0.0000, 0.0000, 4.7358]], "species": ["Ti", "Ti", "Y", "N", "Au"], "frac_coords": [[0.0000, 0.5000, 0.0000], [0.5000, 0.0000, 0.0000], [0.0000, 0.0000, 0.5000], [0.0000, 0.0000, 0.0000], [0.5000, 0.5000, 0.5000]]}

(11)
{"formula": "Y2TiAuN", "functional": "PBE-GGA", "state": "optimized geometry", "dos_at_fermi_per_ev_atom": 0.662, "total_energy_ev_per_atom": -7.475, "sg": "No. 123", "m_tot_mub_per_fu": 1.22, "crystal_system": "tetragonal", "raw_formation_energy_kj_per_mol_atoms": -95.5, "cell": [[-1.7169, 4.3529, -1.4479], [-2.3913, -2.1686, -3.6840], [-3.2181, -0.4804, 2.3717]], "species": ["Y", "N", "Y", "Au", "Ti"], "frac_coords": [[0.5000, 0.0000, 0.0000], [0.0000, 0.0000, 0.0000], [0.0000, 0.5000, 0.0000], [0.5000, 0.5000, 0.5000], [0.0000, 0.0000, 0.5000]]}

(12)
{"formula": "Zr2TiAuN", "functional": "PBE-GGA", "state": "optimized geometry", "dos_at_fermi_per_ev_atom": 0.531, "total_energy_ev_per_atom": -8.298, "sg": "No. 123", "m_tot_mub_per_fu": 0.89, "crystal_system": "tetragonal", "raw_formation_energy_kj_per_mol_atoms": -94.5, "cell": [[4.5035, 0.0000, 0.0000], [0.0000, 4.5035, 0.0000], [0.0000, 0.0000, 4.1195]], "species": ["Ti", "Zr", "N", "Zr", "Au"], "frac_coords": [[0.0000, 0.0000, 0.5000], [0.0000, 0.5000, 0.0000], [0.0000, 0.0000, 0.0000], [0.5000, 0.0000, 0.0000], [0.5000, 0.5000, 0.5000]]}